1.
Compound: CaPrIn2
Source: Alexandria via LeMat-Bulk
Functional: GGA-PBE
Structure: relaxed

POSCAR file:
```
CaPrIn2
1.0
3.848 0.000 0.000
0.000 3.848 0.000
0.000 0.000 7.881
Ca Pr In
1 1 2
Direct
0.000 0.000 0.000 Ca
0.000 0.000 0.500 Pr
0.500 0.500 0.243 In
0.500 0.500 0.757 In
```

Summary:
Crystal system: tetragonal
Formation enthalpy at 0 K in kJ/mol of formula units: -186

***

2.
Compound: MnFe
Source: Alexandria via LeMat-Bulk
Functional: GGA-PBE
Structure: relaxed

POSCAR file:
```
MnFe
1.0
-4.382 4.382 1.234
4.382 -4.382 1.234
4.382 4.382 -1.234
Mn Fe
4 4
Direct
0.106 0.163 0.269 Mn
0.163 0.894 0.056 Mn
0.837 0.106 0.944 Mn
0.894 0.837 0.731 Mn
0.099 0.640 0.739 Fe
0.360 0.099 0.460 Fe
0.640 0.901 0.540 Fe
0.901 0.360 0.261 Fe
```

Summary:
Crystal system: tetragonal
Formation enthalpy at 0 K in kJ/mol of formula units: 95

***

3.
Compound: PuURu2
Source: Alexandria via LeMat-Bulk
Functional: GGA-PBE
Structure: relaxed

POSCAR file:
```
PuURu2
1.0
1.692 0.977 8.267
-1.692 0.977 8.267
0.000 -1.953 8.267
Pu U Ru
1 1 2
Direct
0.000 0.000 0.000 Pu
0.167 0.167 0.167 U
0.570 0.570 0.570 Ru
0.765 0.765 0.765 Ru
```

Summary:
Crystal system: trigonal
Formation enthalpy at 0 K in kJ/mol of formula units: 5

***

4.
Compound: ZnTc3N
Source: Alexandria via LeMat-Bulk
Functional: GGA-PBE
Structure: relaxed

POSCAR file:
```
ZnTc3N
1.0
4.957 0.000 0.000
2.079 4.930 0.000
0.807 1.814 5.447
Zn Tc N
2 6 2
Direct
0.000 0.000 0.000 Zn
0.497 0.153 0.217 Zn
0.399 0.159 0.675 Tc
0.436 0.612 0.802 Tc
0.462 0.631 0.308 Tc
0.937 0.655 0.491 Tc
0.972 0.500 0.007 Tc
0.991 0.121 0.429 Tc
0.586 0.811 0.965 N
0.688 0.366 0.607 N
```

Summary:
Crystal system: triclinic
E_form (uncorrected) in eV/atom: 0.088

***

5.
Compound: Pm12Sm7Mg
Source: Alexandria via LeMat-Bulk
Functional: GGA-PBE
Structure: relaxed

POSCAR file:
```
Pm12Sm7Mg
1.0
6.125 3.536 5.302
-6.125 3.536 5.302
0.000 -7.072 5.302
Pm Sm Mg
12 7 1
Direct
0.004 0.885 0.362 Pm
0.115 0.638 0.996 Pm
0.236 0.361 0.754 Pm
0.246 0.764 0.639 Pm
0.361 0.754 0.236 Pm
0.362 0.004 0.885 Pm
0.638 0.996 0.115 Pm
0.639 0.246 0.764 Pm
0.754 0.236 0.361 Pm
0.764 0.639 0.246 Pm
0.885 0.362 0.004 Pm
0.996 0.115 0.638 Pm
0.000 0.000 0.000 Sm
0.109 0.427 0.352 Sm
0.352 0.109 0.427 Sm
0.427 0.352 0.109 Sm
0.573 0.648 0.891 Sm
0.648 0.891 0.573 Sm
0.891 0.573 0.648 Sm
0.500 0.500 0.500 Mg
```

Summary:
Crystal system: trigonal
Formation enthalpy at 0 K in kJ/mol of formula units: 372

***

6.
Compound: K5Ru2O6
Source: Alexandria via LeMat-Bulk
Functional: GGA-PBE
Structure: relaxed

POSCAR file:
```
K5Ru2O6
1.0
5.409 -3.596 0.000
5.409 3.596 0.000
-0.277 0.000 13.227
K Ru O
10 4 12
Direct
0.121 0.879 0.750 K
0.166 0.700 0.022 K
0.300 0.834 0.478 K
0.322 0.337 0.809 K
0.337 0.322 0.309 K
0.663 0.678 0.691 K
0.678 0.663 0.191 K
0.700 0.166 0.522 K
0.834 0.300 0.978 K
0.879 0.121 0.250 K
0.157 0.403 0.567 Ru
0.403 0.157 0.067 Ru
0.597 0.843 0.933 Ru
0.843 0.597 0.433 Ru
0.049 0.273 0.451 O
0.122 0.283 0.131 O
0.273 0.049 0.951 O
0.283 0.122 0.631 O
0.360 0.510 0.630 O
0.490 0.640 0.870 O
0.510 0.360 0.130 O
0.640 0.490 0.370 O
0.717 0.878 0.369 O
0.727 0.951 0.049 O
0.878 0.717 0.869 O
0.951 0.727 0.549 O
```

Summary:
Crystal system: monoclinic
E_form (uncorrected) in eV/atom: -1.163